Record 1
Density functional theory data (GGA-PBEsol) for an optimized crystal structure of CaHoFe2O6.

Values from the calculation:
M_tot = 6.21 μB per formula unit
formation energy from raw total energies = -2.28 eV per atom
D(E_F) = 8.32 states/eV/cell
crystal system = orthorhombic
electronic total energy = -7.9355 eV per atom

a b c (Å): 7.3891 5.3729 5.1860
angles (deg): 90.00 90.00 90.00
Space group Pmn2_1 (No. 31)
Symmetry-distinct sites (fractional):
1 Ca 0.0000 0.1981 0.0000 x2
2 Ho 0.0000 0.6853 0.4728 x2
3 Fe 0.2501 0.2458 0.4887 x4
4 O 0.0000 0.2697 0.5602 x2
5 O 0.0000 0.7664 0.8977 x2
6 O 0.2045 0.9499 0.2911 x4
7 O 0.2101 0.4629 0.1996 x4

---

Record 2
Density functional theory data (GGA-PBEsol) for an optimized crystal structure of CaFeIN2.

Values from the calculation:
M_tot = 7.24 μB per formula unit
formation energy from raw total energies = 1.63 eV per atom
D(E_F) = 6.32 states/eV/cell
crystal system = tetragonal
electronic total energy = -4.3540 eV per atom

a b c (Å): 4.3598 4.3598 6.0268
angles (deg): 90.00 90.00 90.00
Space group P4/mmm (No. 123)
Symmetry-distinct sites (fractional):
1 Ca 0.0000 0.0000 0.0000 x1
2 Fe 0.5000 0.5000 0.5000 x1
3 I 0.0000 0.0000 0.5000 x1
4 N 0.0000 0.5000 0.0000 x2